The following is a PBE-GGA calculation of an optimized crystal structure of Zr4HgRh, from the Alexandria database.

Output
- calculated total energy (eV/atom) = -6.71
- energy above the lowest structure with this stoichiometry (meV/atom) = 282.5
- SG = No. 216
- calculated density (g/cm3) = 8.76
- spin magnetization (μB/cell) = 0.0
- Fermi-level density of states (states/eV per atom) = 1.140

Unit cell a=5.6381 b=5.6381 c=5.6381 alpha=60.00 beta=60.00 gamma=60.00
Fractional coordinates of all 6 atoms:
Zr 0.3759 0.3759 0.3759
Zr 0.3759 0.3759 0.8724
Zr 0.3759 0.8724 0.3759
Zr 0.8724 0.3759 0.3759
Hg 0.0000 0.0000 0.0000
Rh 0.7500 0.7500 0.7500

---

The following is a PBE-GGA calculation of an optimized crystal structure of LaYSi2, from the Alexandria database.

Output
- calculated total energy (eV/atom) = -6.12
- ΔE_f (raw) (eV per formula unit) = -2.2
- energy above the lowest structure with this stoichiometry (meV/atom) = 208.4
- SG = No. 47
- calculated density (g/cm3) = 5.03
- spin magnetization (μB/cell) = 0.1
- Fermi-level density of states (states/eV per atom) = 0.605

Unit cell a=3.8005 b=3.8188 c=6.4578 alpha=90.00 beta=90.00 gamma=90.00
Fractional coordinates of all 4 atoms:
La 0.0000 0.0000 0.0000
Y 0.0000 0.0000 0.5000
Si 0.5000 0.5000 0.3056
Si 0.5000 0.5000 0.6944

---

The following is a PBE-GGA calculation of an optimized crystal structure of Pr12Dy5In2, from the Alexandria database.

Output
- calculated total energy (eV/atom) = -4.53
- SG = No. 12
- calculated density (g/cm3) = 7.06
- spin magnetization (μB/cell) = 0.0
- Fermi-level density of states (states/eV per atom) = 1.405

Unit cell a=9.1355 b=9.1355 c=8.7302 alpha=93.05 beta=93.05 gamma=62.11
Fractional coordinates of all 19 atoms:
Pr 0.0579 0.0579 0.3238
Pr 0.0702 0.6804 0.3351
Pr 0.1659 0.5369 0.7660
Pr 0.3196 0.9298 0.6649
Pr 0.4184 0.4184 0.1150
Pr 0.4631 0.8341 0.2340
Pr 0.5369 0.1659 0.7660
Pr 0.5816 0.5816 0.8850
Pr 0.6804 0.0702 0.3351
Pr 0.8341 0.4631 0.2340
Pr 0.9298 0.3196 0.6649
Pr 0.9421 0.9421 0.6762
Dy 0.1878 0.1878 0.0121
Dy 0.2686 0.2686 0.4174
Dy 0.5000 0.5000 0.5000
Dy 0.7314 0.7314 0.5826
Dy 0.8122 0.8122 0.9879
In 0.1739 0.8261 0.0000
In 0.8261 0.1739 0.0000

---

The following is a PBE-GGA calculation of an optimized crystal structure of RbAsIBr2, from the Alexandria database.

Output
- calculated total energy (eV/atom) = -2.87
- ΔE_f (raw) (eV per formula unit) = -3.8
- energy above the lowest structure with this stoichiometry (meV/atom) = 0.0
- SG = No. 123
- calculated density (g/cm3) = 4.18
- spin magnetization (μB/cell) = 0.0
- Fermi-level density of states (states/eV per atom) = 0.087

Unit cell a=5.5210 b=5.5210 c=5.8324 alpha=90.00 beta=90.00 gamma=90.00
Fractional coordinates of all 5 atoms:
Rb 0.0000 0.0000 0.0000
As 0.5000 0.5000 0.5000
I 0.5000 0.5000 0.0000
Br 0.0000 0.5000 0.5000
Br 0.5000 0.0000 0.5000

---

The following is a PBE-GGA calculation of an optimized crystal structure of SmU2O7, from the Alexandria database.

Output
- calculated total energy (eV/atom) = -9.46
- ΔE_f (raw) (eV per formula unit) = -32.6
- SG = No. 166
- calculated density (g/cm3) = 9.24
- spin magnetization (μB/cell) = 1.0
- Fermi-level density of states (states/eV per atom) = 0.715

Unit cell a=10.5798 b=10.5798 c=10.5798 alpha=20.96 beta=20.96 gamma=20.96
Fractional coordinates of all 10 atoms:
Sm 0.0000 0.0000 0.0000
U 0.4331 0.4331 0.4331
U 0.5669 0.5669 0.5669
O 0.0786 0.0786 0.0786
O 0.2199 0.2199 0.2199
O 0.3635 0.3635 0.3635
O 0.5000 0.5000 0.5000
O 0.6365 0.6365 0.6365
O 0.7801 0.7801 0.7801
O 0.9214 0.9214 0.9214

---

The following is a PBE-GGA calculation of an optimized crystal structure of LaTbP2O8, from the Alexandria database.

Output
- calculated total energy (eV/atom) = -7.95
- ΔE_f (raw) (eV per formula unit) = -35.3
- SG = No. 164
- calculated density (g/cm3) = 4.58
- spin magnetization (μB/cell) = 0.0
- Fermi-level density of states (states/eV per atom) = 0.000

Unit cell a=5.2961 b=5.2961 c=7.2811 alpha=90.00 beta=90.00 gamma=120.00
Fractional coordinates of all 12 atoms:
La 0.0000 0.0000 0.0000
Tb 0.0000 0.0000 0.5000
P 0.3333 0.6667 0.7920
P 0.6667 0.3333 0.2080
O 0.1742 0.3484 0.7186
O 0.1742 0.8258 0.7186
O 0.3333 0.6667 0.0022
O 0.3484 0.1742 0.2814
O 0.6516 0.8258 0.7186
O 0.6667 0.3333 0.9978
O 0.8258 0.1742 0.2814
O 0.8258 0.6516 0.2814

---

The following is a PBE-GGA calculation of an optimized crystal structure of VGeAsBr, from the Alexandria database.

Output
- calculated total energy (eV/atom) = -5.20
- ΔE_f (raw) (eV per formula unit) = -0.7
- energy above the lowest structure with this stoichiometry (meV/atom) = 14.5
- SG = No. 8
- calculated density (g/cm3) = 5.21
- spin magnetization (μB/cell) = 0.0
- Fermi-level density of states (states/eV per atom) = 0.558

Unit cell a=3.2633 b=3.2633 c=9.8829 alpha=102.15 beta=102.15 gamma=60.39
Fractional coordinates of all 4 atoms:
V 0.0000 0.0000 0.0000
Ge 0.8481 0.8481 0.4268
As 0.7375 0.7375 0.1659
Br 0.5907 0.5907 0.8235

---

The following is a PBE-GGA calculation of an optimized crystal structure of Ac2DyCd3In4, from the Alexandria database.

Output
- calculated total energy (eV/atom) = -2.99
- SG = No. 115
- calculated density (g/cm3) = 8.06
- spin magnetization (μB/cell) = 0.0
- Fermi-level density of states (states/eV per atom) = 0.632

Unit cell a=4.7914 b=4.7914 c=12.6873 alpha=90.00 beta=90.00 gamma=90.00
Fractional coordinates of all 10 atoms:
Ac 0.0000 0.5000 0.2386
Ac 0.5000 0.0000 0.7614
Dy 0.0000 0.0000 0.5000
Cd 0.0000 0.5000 0.8664
Cd 0.5000 0.0000 0.1336
Cd 0.5000 0.5000 0.5000
In 0.0000 0.0000 0.0000
In 0.0000 0.5000 0.6479
In 0.5000 0.0000 0.3521
In 0.5000 0.5000 0.0000

---

- calculated total energy of number 3 (Pr12Dy5In2)?
  -4.53 eV/atom